## A
Material: KCd3Pd
Method: DFT, GGA-PBE
State: optimized geometry

Calculated values
- Symmetry: P-1

a b c (Å): 7.2565 5.8906 7.1252
angles (deg): 88.85 116.27 106.31
Element x y z (fractional)
Pd  0.6981  0.4723  0.7753
Pd  0.0955  0.3103  0.8965
Cd  0.7126  0.9699  0.8275
Cd  0.9844  0.4746  0.1883
Cd  0.0811  0.8128  0.8444
Cd  0.4824  0.2113  0.9944
Cd  0.8094  0.3084  0.4834
Cd  0.3113  0.5713  0.6775
K  0.2341  0.0664  0.3924
K  0.5594  0.7162  0.2795

---

## B
Material: KCd3Pd
Method: DFT, GGA-PBE
State: optimized geometry

Calculated values
- Symmetry: C2/m

a b c (Å): 17.7530 7.1846 7.1846
angles (deg): 144.54 144.96 35.04
Element x y z (fractional)
Cd  0.4238  0.7739  0.2261
Cd  0.0102  0.3851  0.6149
Cd  0.9898  0.6149  0.3851
Cd  0.7788  0.4409  0.5591
Cd  0.2212  0.5591  0.4409
Cd  0.5762  0.2261  0.7739
Pd  0.1073  0.0869  0.9131
Pd  0.8927  0.9131  0.0869
K  0.6744  0.8385  0.1615
K  0.3256  0.1615  0.8385

---

## C
Material: KCd3Pd
Method: DFT, GGA-PBE
State: optimized geometry

Calculated values
- Symmetry: I-4m2

a b c (Å): 5.8905 5.8905 9.9776
angles (deg): 72.83 72.83 90.00
Element x y z (fractional)
Cd  0.2757  0.2757  0.4485
Cd  0.6201  0.8752  0.2496
Cd  0.1302  0.8752  0.2496
Cd  0.7243  0.7243  0.5515
Cd  0.1248  0.3799  0.7504
Cd  0.1248  0.8698  0.7504
Pd  0.0000  0.0000  0.0000
Pd  0.2500  0.7500  0.5000
K  0.5664  0.0664  0.8672
K  0.9336  0.4336  0.1328

---

Of the structures shown above, A is the most stable.